VASP calculation (GGA-PBE) on a relaxed PmNdCdI crystal.

The structure in POSCAR format:
```
PmNdCdI
1.0
0.000 3.895 3.895
3.895 0.000 3.895
3.895 3.895 0.000
Pm Nd Cd I
1 1 1 1
Direct
0.000 0.000 0.000
0.500 0.500 0.500
0.750 0.750 0.750
0.250 0.250 0.250
```

* total energy: -3.40 eV/atom
* volume: 29.6 Å³/atom